(1)
# KMn2Ni | the Alexandria database | PBE-GGA | optimized geometry
# Energy above the most stable polymorph in this dataset ... 258 meV per atom
# N(E_F) ... 4.2 states/eV/f.u.
# ΔE_f ... 3.300 eV/f.u.
# Size of the total moment ... 0.00 μB/cell
data_KMn2Ni
_chemical_formula_sum 'K1 Mn2 Ni1'
_cell_length_a 2.5683
_cell_length_b 3.9525
_cell_length_c 7.1385
_cell_angle_alpha 90.00
_cell_angle_beta 90.00
_cell_angle_gamma 90.00
_space_group_name_H-M_alt 'P m m m'
_space_group_IT_number 47
loop_
_space_group_symop_operation_xyz
'x,y,z'
'-x,-y,-z'
'-x,-y,z'
'x,y,-z'
'x,-y,-z'
'-x,y,z'
'-x,y,-z'
'x,-y,z'
loop_
_atom_site_label
_atom_site_type_symbol
_atom_site_fract_x
_atom_site_fract_y
_atom_site_fract_z
K1 K 0.0000 0.0000 0.0000
Mn1 Mn 0.5000 0.5000 0.3674
Ni1 Ni 0.0000 0.0000 0.5000

=====

(2)
# Pm2NdOsC2 | the Alexandria database | PBE-GGA | optimized geometry
# N(E_F) ... 4.2 states/eV/f.u.
# ΔE_f ... -0.473 eV/f.u.
# Size of the total moment ... 0.00 μB/cell
data_Pm2NdOsC2
_chemical_formula_sum 'Pm4 Nd2 Os2 C4'
_cell_length_a 5.7471
_cell_length_b 11.3266
_cell_length_c 3.8971
_cell_angle_alpha 90.00
_cell_angle_beta 90.00
_cell_angle_gamma 90.00
_space_group_name_H-M_alt 'P n n m'
_space_group_IT_number 58
loop_
_space_group_symop_operation_xyz
'x,y,z'
'-x,-y,-z'
'-x,-y,z'
'x,y,-z'
'x+1/2,-y+1/2,-z+1/2'
'-x+1/2,y+1/2,z+1/2'
'-x+1/2,y+1/2,-z+1/2'
'x+1/2,-y+1/2,z+1/2'
loop_
_atom_site_label
_atom_site_type_symbol
_atom_site_fract_x
_atom_site_fract_y
_atom_site_fract_z
Pm1 Pm 0.0347 0.2051 0.0000
Nd1 Nd 0.0000 0.5000 0.5000
Os1 Os 0.0000 0.0000 0.5000
C1 C 0.2434 0.6147 0.0000

=====

(3)
# Ba2HgF7 | the Alexandria database | PBE-GGA | optimized geometry
# Total energy ... -4.425 eV/atom
# N(E_F) ... 6.5 states/eV/f.u.
# Size of the total moment ... 4.36 μB/cell
data_Ba2HgF7
_chemical_formula_sum 'Ba8 Hg4 F28'
_cell_length_a 14.0238
_cell_length_b 6.7746
_cell_length_c 8.6672
_cell_angle_alpha 90.00
_cell_angle_beta 126.12
_cell_angle_gamma 90.00
_space_group_name_H-M_alt 'C 1 2/c 1'
_space_group_IT_number 15
loop_
_space_group_symop_operation_xyz
'x,y,z'
'-x,-y,-z'
'-x,y,-z+1/2'
'x,-y,z+1/2'
'x+1/2,y+1/2,z'
'-x+1/2,-y+1/2,-z'
'-x+1/2,y+1/2,-z+1/2'
'x+1/2,-y+1/2,z+1/2'
loop_
_atom_site_label
_atom_site_type_symbol
_atom_site_fract_x
_atom_site_fract_y
_atom_site_fract_z
Ba1 Ba 0.1816 0.0025 0.0891
Hg1 Hg 0.0000 0.4992 0.2500
F1 F 0.0000 0.1311 0.7500
F2 F 0.0951 0.3424 0.6274
F3 F 0.1285 0.2487 0.2970
F4 F 0.1941 0.3957 0.0384

=====

(4)
# CsSnHg2Se4 | the Alexandria database | PBE-GGA | optimized geometry
# Total energy ... -2.875 eV/atom
# N(E_F) ... 5.6 states/eV/f.u.
# Size of the total moment ... 0.00 μB/cell
data_CsSnHg2Se4
_chemical_formula_sum 'Cs2 Sn2 Hg4 Se8'
_cell_length_a 7.0987
_cell_length_b 8.6324
_cell_length_c 9.5720
_cell_angle_alpha 90.00
_cell_angle_beta 90.00
_cell_angle_gamma 90.00
_space_group_name_H-M_alt 'I 2 2 2'
_space_group_IT_number 23
loop_
_space_group_symop_operation_xyz
'x,y,z'
'-x,-y,z'
'x,-y,-z'
'-x,y,-z'
'x+1/2,y+1/2,z+1/2'
'-x+1/2,-y+1/2,z+1/2'
'x+1/2,-y+1/2,-z+1/2'
'-x+1/2,y+1/2,-z+1/2'
loop_
_atom_site_label
_atom_site_type_symbol
_atom_site_fract_x
_atom_site_fract_y
_atom_site_fract_z
Cs1 Cs 0.0000 0.0000 0.0000
Sn1 Sn 0.0000 0.0000 0.5000
Hg1 Hg 0.0000 0.5000 0.1812
Se1 Se 0.2183 0.1776 0.3298

=====

(5)
# ErThCoPd | the Alexandria database | PBE-GGA | optimized geometry
# Energy above the most stable polymorph in this dataset ... 0 meV per atom
# N(E_F) ... 2.8 states/eV/f.u.
# ΔE_f ... -2.398 eV/f.u.
# Size of the total moment ... 0.00 μB/cell
data_ErThCoPd
_chemical_formula_sum 'Er2 Th2 Co2 Pd2'
_cell_length_a 3.9852
_cell_length_b 3.7818
_cell_length_c 11.4168
_cell_angle_alpha 90.00
_cell_angle_beta 90.00
_cell_angle_gamma 90.00
_space_group_name_H-M_alt 'A m m 2'
_space_group_IT_number 38
loop_
_space_group_symop_operation_xyz
'x,y,z'
'-x,-y,z'
'-x,y,z'
'x,-y,z'
'x,y+1/2,z+1/2'
'-x,-y+1/2,z+1/2'
'-x,y+1/2,z+1/2'
'x,-y+1/2,z+1/2'
loop_
_atom_site_label
_atom_site_type_symbol
_atom_site_fract_x
_atom_site_fract_y
_atom_site_fract_z
Er1 Er 0.0000 0.0000 0.0000
Th1 Th 0.5000 0.0000 0.2805
Co1 Co 0.0000 0.0000 0.7472
Pd1 Pd 0.5000 0.0000 0.5654

=====

(6)
# Ho4Mg5Zr | the Alexandria database | PBE-GGA | optimized geometry
# N(E_F) ... 12.9 states/eV/f.u.
# ΔE_f ... -0.294 eV/f.u.
# Size of the total moment ... 0.00 μB/cell
data_Ho4Mg5Zr
_chemical_formula_sum 'Ho4 Mg5 Zr1'
_cell_length_a 3.6925
_cell_length_b 3.6925
_cell_length_c 18.9237
_cell_angle_alpha 90.00
_cell_angle_beta 90.00
_cell_angle_gamma 90.00
_space_group_name_H-M_alt 'P 4/m m m'
_space_group_IT_number 123
_space_group_name_Hall '-P 4 2'
loop_
_atom_site_label
_atom_site_type_symbol
_atom_site_fract_x
_atom_site_fract_y
_atom_site_fract_z
Ho1 Ho 0.0000 0.0000 0.1031
Ho2 Ho 0.0000 0.0000 0.3104
Mg1 Mg 0.5000 0.5000 0.0000
Mg2 Mg 0.5000 0.5000 0.2065
Mg3 Mg 0.5000 0.5000 0.4121
Zr1 Zr 0.0000 0.0000 0.5000

=====

(7)
# KZn12Ag7 | the Alexandria database | PBE-GGA | optimized geometry
# N(E_F) ... 5.9 states/eV/f.u.
# ΔE_f ... 1.084 eV/f.u.
# Size of the total moment ... 0.00 μB/cell
data_KZn12Ag7
_chemical_formula_sum 'K3 Zn36 Ag21'
_cell_length_a 13.6593
_cell_length_b 13.6593
_cell_length_c 6.6740
_cell_angle_alpha 90.00
_cell_angle_beta 90.00
_cell_angle_gamma 120.00
_space_group_name_H-M_alt 'R -3 m'
_space_group_IT_number 166
_space_group_name_Hall '-R 3 2"'
loop_
_atom_site_label
_atom_site_type_symbol
_atom_site_fract_x
_atom_site_fract_y
_atom_site_fract_z
K1 K 0.0000 0.0000 0.0000
Zn1 Zn 0.0000 0.2691 0.0000
Zn2 Zn 0.1056 0.5528 0.9535
Ag1 Ag 0.0000 0.0000 0.5000
Ag2 Ag 0.1034 0.5517 0.3583

=====

(8)
# NdTh4Bi5 | the Alexandria database | PBE-GGA | optimized geometry
# N(E_F) ... 6.8 states/eV/f.u.
# ΔE_f ... -6.411 eV/f.u.
# Size of the total moment ... 0.00 μB/cell
data_NdTh4Bi5
_chemical_formula_sum 'Nd2 Th8 Bi10'
_cell_length_a 4.5976
_cell_length_b 6.4955
_cell_length_c 23.0308
_cell_angle_alpha 90.00
_cell_angle_beta 90.00
_cell_angle_gamma 90.00
_space_group_name_H-M_alt 'I m m m'
_space_group_IT_number 71
_space_group_name_Hall '-I 2 2'
loop_
_atom_site_label
_atom_site_type_symbol
_atom_site_fract_x
_atom_site_fract_y
_atom_site_fract_z
Nd1 Nd 0.0000 0.0000 0.0000
Th1 Th 0.0000 0.0000 0.2003
Th2 Th 0.0000 0.0000 0.4004
Bi1 Bi 0.0000 0.5000 0.0000
Bi2 Bi 0.0000 0.5000 0.1997
Bi3 Bi 0.0000 0.5000 0.4000

=====

(9)
# CeOs2 | the Alexandria database | PBE-GGA | optimized geometry
# N(E_F) ... 3.4 states/eV/f.u.
# ΔE_f ... -0.723 eV/f.u.
# Size of the total moment ... 0.00 μB/cell
data_CeOs2
_chemical_formula_sum 'Ce8 Os16'
_cell_length_a 5.4278
_cell_length_b 5.4278
_cell_length_c 17.3614
_cell_angle_alpha 90.00
_cell_angle_beta 90.00
_cell_angle_gamma 120.00
_space_group_name_H-M_alt 'P 63/m m c'
_space_group_IT_number 194
_space_group_name_Hall '-P 6c 2c'
loop_
_atom_site_label
_atom_site_type_symbol
_atom_site_fract_x
_atom_site_fract_y
_atom_site_fract_z
Ce1 Ce 0.0000 0.0000 0.0884
Ce2 Ce 0.3333 0.6667 0.1564
Os1 Os 0.0000 0.5000 0.0000
Os2 Os 0.1616 0.3232 0.7500
Os3 Os 0.3333 0.6667 0.6270

=====

(10)
# Pr2Mg | the Alexandria database | PBE-GGA | optimized geometry
# Energy above the most stable polymorph in this dataset ... 0 meV per atom
# N(E_F) ... 3.0 states/eV/f.u.
# ΔE_f ... -0.201 eV/f.u.
# Size of the total moment ... 0.00 μB/cell
data_Pr2Mg
_chemical_formula_sum 'Pr4 Mg2'
_cell_length_a 3.8435
_cell_length_b 3.8435
_cell_length_c 13.0936
_cell_angle_alpha 90.00
_cell_angle_beta 90.00
_cell_angle_gamma 90.00
_space_group_name_H-M_alt 'P 4/m m m'
_space_group_IT_number 123
_space_group_name_Hall '-P 4 2'
loop_
_atom_site_label
_atom_site_type_symbol
_atom_site_fract_x
_atom_site_fract_y
_atom_site_fract_z
Pr1 Pr 0.0000 0.0000 0.0000
Pr2 Pr 0.0000 0.0000 0.3042
Pr3 Pr 0.5000 0.5000 0.5000
Mg1 Mg 0.5000 0.5000 0.1515